Material: Si2HCl8
Method: DFT, GGA-PBE
State: relaxed

POSCAR file:
```
Si2HCl8
1.0
7.842 0.783 0.594
1.087 7.715 0.649
1.087 2.702 7.256
Si Cl H
2 8 1
Cartesian
7.123 8.841 6.708
2.894 2.360 1.791
3.240 8.347 3.213
7.665 7.276 5.521
5.094 8.952 6.792
6.777 2.854 5.286
6.777 5.859 1.325
3.240 5.342 7.173
2.351 3.924 2.978
4.923 2.249 1.707
0.000 0.000 0.000
```

Output
The final energy comes out at -3.5644 eV per atom. The value obtained for the total magnetization is 1.000 Bohr magnetons per cell. Its density of states at the Fermi level is 0.000 states/eV per atom. Its space group is C2/m, No. 12. For the density, the calculation gives 1.359 g/cm³.